Entry from Alexandria: an optimized crystal structure of AlReAg2 (GGA-PBE).

Results
For the calculated volume, the calculation gives 193.87 Å³/cell. The value obtained for the calculated formation energy is 142 meV per atom. The calculation puts the density at 11.02 g/cm3. The density of states at the Fermi level is 3.88 states/eV per cell. For the total energy, the calculation gives -63.97 eV/cell.

abc: 2.8372 2.8372 27.8105
angles: 90.00 90.00 120.00
Space group R3m (No. 160, hexagonal axes)
Inequivalent atoms, fractional coordinates:
1 Al 0.0000 0.0000 0.0000
2 Re 0.0000 0.0000 0.2570
3 Ag 0.0000 0.0000 0.5035
4 Ag 0.0000 0.0000 0.7474